A plane-wave DFT calculation with PBE was carried out for crystalline Mg14NbSb at its relaxed geometry.

a b c (Å): 6.3503 6.3503 10.1477
angles (deg): 90.00 90.00 120.00
With the nearest neighbours (Å) after each atom.
Fractional positions:
Mg1 0.0000 0.0000 0.2492  12 Mg 3.13-3.18
Mg2 0.0000 0.0000 0.7508  12 Mg 3.13-3.18
Mg3 0.0092 0.5046 0.2440  1 Nb 3.05, 10 Mg 3.09-3.26, 1 Sb 3.15
Mg4 0.0092 0.5046 0.7560  1 Nb 3.05, 10 Mg 3.09-3.26, 1 Sb 3.15
Mg5 0.3329 0.1665 0.5000  10 Mg 3.14-3.19, 2 Sb 3.18
Mg6 0.3349 0.1674 0.0000  10 Mg 3.09-3.19, 2 Nb 3.18
Mg7 0.4954 0.5046 0.2440  1 Nb 3.05, 10 Mg 3.09-3.26, 1 Sb 3.15
Mg8 0.4954 0.5046 0.7560  1 Nb 3.05, 10 Mg 3.09-3.26, 1 Sb 3.15
Mg9 0.4954 0.9908 0.2440  1 Nb 3.05, 10 Mg 3.09-3.26, 1 Sb 3.15
Mg10 0.4954 0.9908 0.7560  1 Nb 3.05, 10 Mg 3.09-3.26, 1 Sb 3.15
Mg11 0.8326 0.1674 0.0000  10 Mg 3.09-3.19, 2 Nb 3.18
Mg12 0.8326 0.6651 0.0000  10 Mg 3.09-3.19, 2 Nb 3.18
Mg13 0.8335 0.1665 0.5000  10 Mg 3.14-3.19, 2 Sb 3.18
Mg14 0.8335 0.6671 0.5000  10 Mg 3.14-3.19, 2 Sb 3.18
Nb1 0.3333 0.6667 0.0000  12 Mg 3.05-3.18
Sb1 0.3333 0.6667 0.5000  12 Mg 3.15-3.18

- offset from the most stable computed form (kJ/mol of formula units) = 0
- uncorrected formation energy (meV/atom) = 19
- DOS at the Fermi energy (states/eV/atom) = 0.646